# PBE with a Hubbard U VCuOF2, relaxed
# - total moment (μB per formula unit) = 3.11
# - DOS(E_F) (states/eV/f.u.) = 6.2
# - offset from the most stable computed form (meV/atom) = 625
data_VCuOF2
_cell_length_a 3.8783
_cell_length_b 3.8783
_cell_length_c 3.9457
_cell_angle_alpha 90.00
_cell_angle_beta 90.00
_cell_angle_gamma 90.00
_symmetry_space_group_name_H-M 'P 4/m m m'
_symmetry_Int_Tables_number 123
_symmetry_space_group_name_Hall '-P 4 2'
loop_
_atom_site_label
_atom_site_type_symbol
_atom_site_fract_x
_atom_site_fract_y
_atom_site_fract_z
_atom_site_occupancy
V1 V 0.0000 0.0000 0.0000 1
Cu1 Cu 0.5000 0.5000 0.5000 1
O1 O 0.5000 0.5000 0.0000 1
F1 F 0.0000 0.5000 0.5000 1